(1)
A plane-wave DFT calculation with PBE was carried out for a relaxed structure of DyHo3Pu3Se8.

Results
As for the total DFT energy (no corrections): -7.668 eV per atom. For the energy relative to the elements, uncorrected, the calculation gives -1.72 eV/atom.

a b c (Å): 8.1702 8.1702 20.1303
angles (deg): 90.00 90.00 120.00
Space group R-3m (No. 166, hexagonal axes)
Inequivalent atoms, fractional coordinates:
Dy1 0.0000 0.0000 0.0000 (multiplicity 3)
Ho1 0.0000 0.5000 0.0000 (multiplicity 9)
Pu1 0.0000 0.5000 0.5000 (multiplicity 9)
Se1 0.0000 0.0000 0.2519 (multiplicity 6)
Se2 0.0049 0.5024 0.2515 (multiplicity 18)



(2)
A plane-wave DFT calculation with PBE was carried out for a relaxed structure of Sm4SnPSe2.

Results
As for the total DFT energy (no corrections): -5.910 eV per atom. For the energy relative to the elements, uncorrected, the calculation gives -1.50 eV/atom.

a b c (Å): 7.358 4.237 7.374
angles (deg): 90.00 109.37 90.00
Space group P2/m (No. 10)
Inequivalent atoms, fractional coordinates:
Sm1 0.238 0.000 0.236 (multiplicity 2)
Sm2 0.249 0.500 0.761 (multiplicity 2)
Sn1 0.000 0.000 0.500 (multiplicity 1)
P1 0.000 0.500 0.000 (multiplicity 1)
Se1 0.500 0.000 0.000 (multiplicity 1)
Se2 0.500 0.500 0.500 (multiplicity 1)



(3)
A plane-wave DFT calculation with PBE was carried out for a relaxed structure of LiLa2Mg.

Results
As for the calculated formation energy: 0.01 eV per atom. As for the total DFT energy (no corrections): -3.327 eV per atom.

a b c (Å): 3.456 5.267 6.816
angles (deg): 90.00 104.49 90.00
Space group Pm (No. 6)
Inequivalent atoms, fractional coordinates:
Li1 0.000 0.000 0.000 (multiplicity 1)
La1 0.386 0.500 0.776 (multiplicity 1)
La2 0.732 0.000 0.467 (multiplicity 1)
Mg1 0.117 0.500 0.240 (multiplicity 1)



(4)
A plane-wave DFT calculation with PBE was carried out for a relaxed structure of Tm2PaCo.

Results
As for the calculated formation energy: 0.01 eV per atom. As for the total DFT energy (no corrections): -6.377 eV per atom.

a b c (Å): 3.275 3.275 8.389
angles (deg): 90.00 90.00 90.00
Space group P4/mmm (No. 123)
Inequivalent atoms, fractional coordinates:
Tm1 0.000 0.000 0.193 (multiplicity 2)
Pa1 0.500 0.500 0.500 (multiplicity 1)
Co1 0.500 0.500 0.000 (multiplicity 1)



(5)
A plane-wave DFT calculation with PBE was carried out for a relaxed structure of Dy2Y3Ho6Zr.

Results
As for the calculated formation energy: 0.05 eV per atom. As for the total DFT energy (no corrections): -5.339 eV per atom.

a b c (Å): 6.078 10.509 11.621
angles (deg): 90.00 99.95 90.00
Space group C2/m (No. 12)
Inequivalent atoms, fractional coordinates:
Dy1 0.000 0.167 0.000 (multiplicity 4)
Y1 0.000 0.000 0.500 (multiplicity 2)
Y2 0.000 0.333 0.500 (multiplicity 4)
Ho1 0.245 0.337 0.244 (multiplicity 8)
Ho2 0.245 0.500 0.757 (multiplicity 4)
Zr1 0.000 0.500 0.000 (multiplicity 2)



(6)
A plane-wave DFT calculation with PBE was carried out for a relaxed structure of BiBCl2.

Results
As for the total DFT energy (no corrections): -2.704 eV per atom. For the energy relative to the elements, uncorrected, the calculation gives 0.86 eV/atom.

a b c (Å): 6.990 6.990 6.990
angles (deg): 90.00 90.00 90.00
Space group Fm-3m (No. 225)
Inequivalent atoms, fractional coordinates:
Bi1 0.000 0.000 0.000 (multiplicity 4)
B1 0.000 0.000 0.500 (multiplicity 4)
Cl1 0.250 0.250 0.250 (multiplicity 8)



> What is the total DFT energy (no corrections) in the first record?

-7.668 eV per atom



> Which of these has the lowest total DFT energy (no corrections)?

DyHo3Pu3Se8



Copy entry 3 word for word.
A plane-wave DFT calculation with PBE was carried out for a relaxed structure of LiLa2Mg.

Results
As for the calculated formation energy: 0.01 eV per atom. As for the total DFT energy (no corrections): -3.327 eV per atom.

a b c (Å): 3.456 5.267 6.816
angles (deg): 90.00 104.49 90.00
Space group Pm (No. 6)
Inequivalent atoms, fractional coordinates:
Li1 0.000 0.000 0.000 (multiplicity 1)
La1 0.386 0.500 0.776 (multiplicity 1)
La2 0.732 0.000 0.467 (multiplicity 1)
Mg1 0.117 0.500 0.240 (multiplicity 1)



> Which of these has the lowest total DFT energy (no corrections)?

DyHo3Pu3Se8